# Hf4Zr2Pa5 PBE relaxed
data_Hf4Zr2Pa5
_chemical_formula_sum 'Hf4 Zr2 Pa5'
_symmetry_space_group_name_H-M 'P 1'
_symmetry_Int_Tables_number 1
_cell_length_a 3.0852
_cell_length_b 7.9891
_cell_length_c 10.5959
_cell_angle_alpha 93.54
_cell_angle_beta 90.00
_cell_angle_gamma 90.00
loop_
_symmetry_equiv_pos_as_xyz
'x,y,z'
loop_
_atom_site_label
_atom_site_fract_x
_atom_site_fract_y
_atom_site_fract_z
_atom_site_occupancy
Pa1 0.0000 0.5000 0.0000 1
Pa2 0.0000 0.4209 0.7225 1
Pa3 0.0000 0.7857 0.8219 1
Pa4 0.0000 0.5791 0.2775 1
Pa5 0.0000 0.2143 0.1781 1
Hf1 0.5000 0.8579 0.0955 1
Hf2 0.5000 0.6928 0.5478 1
Hf3 0.5000 0.3072 0.4522 1
Hf4 0.5000 0.1421 0.9045 1
Zr1 0.0000 0.0549 0.6375 1
Zr2 0.0000 0.9451 0.3625 1
# - ρ (g cm⁻³) = 13.1
# - formation enthalpy at 0 K (eV/atom) = 0.1129
# - space group = P2/m, No. 10

***

# Hf4ZrPa PBE relaxed
data_Hf4ZrPa
_chemical_formula_sum 'Hf8 Zr2 Pa2'
_symmetry_space_group_name_H-M 'P 1'
_symmetry_Int_Tables_number 1
_cell_length_a 3.1909
_cell_length_b 5.4687
_cell_length_c 15.9062
_cell_angle_alpha 83.47
_cell_angle_beta 90.00
_cell_angle_gamma 90.00
loop_
_symmetry_equiv_pos_as_xyz
'x,y,z'
loop_
_atom_site_label
_atom_site_fract_x
_atom_site_fract_y
_atom_site_fract_z
_atom_site_occupancy
Hf1 0.0000 0.9393 0.6724 1
Hf2 0.5000 0.0607 0.8276 1
Hf3 0.5000 0.5617 0.3310 1
Hf4 0.0000 0.0607 0.3276 1
Hf5 0.5000 0.9393 0.1724 1
Hf6 0.5000 0.4383 0.6690 1
Hf7 0.0000 0.4383 0.1690 1
Hf8 0.0000 0.5617 0.8310 1
Zr1 0.5000 0.0000 0.5000 1
Zr2 0.0000 0.0000 0.0000 1
Pa1 0.5000 0.5000 0.0000 1
Pa2 0.0000 0.5000 0.5000 1
# - ρ (g cm⁻³) = 12.5
# - formation enthalpy at 0 K (eV/atom) = 0.0974
# - space group = C2/m, No. 12

***

# Hf2ZrPa5 PBE relaxed
data_Hf2ZrPa5
_chemical_formula_sum 'Hf4 Zr2 Pa10'
_symmetry_space_group_name_H-M 'P 1'
_symmetry_Int_Tables_number 1
_cell_length_a 3.2075
_cell_length_b 9.3773
_cell_length_c 12.9158
_cell_angle_alpha 90.00
_cell_angle_beta 90.00
_cell_angle_gamma 90.00
loop_
_symmetry_equiv_pos_as_xyz
'x,y,z'
loop_
_atom_site_label
_atom_site_fract_x
_atom_site_fract_y
_atom_site_fract_z
_atom_site_occupancy
Zr1 0.0000 0.0000 0.5000 1
Zr2 0.0000 0.5000 0.0000 1
Pa1 0.0000 0.4975 0.7444 1
Pa2 0.0000 0.5025 0.2556 1
Pa3 0.0000 0.0000 0.0000 1
Pa4 0.5000 0.2557 0.8707 1
Pa5 0.0000 0.0025 0.2444 1
Pa6 0.0000 0.9975 0.7556 1
Pa7 0.0000 0.5000 0.5000 1
Pa8 0.5000 0.2443 0.3707 1
Pa9 0.5000 0.7557 0.6293 1
Pa10 0.5000 0.7443 0.1293 1
Hf1 0.5000 0.2378 0.6174 1
Hf2 0.5000 0.7622 0.3826 1
Hf3 0.5000 0.7378 0.8826 1
Hf4 0.5000 0.2622 0.1174 1
# - ρ (g cm⁻³) = 13.7
# - formation enthalpy at 0 K (eV/atom) = 0.0851
# - space group = Pbam, No. 55

***

# HfZr2Pa2 PBE relaxed
data_HfZr2Pa2
_chemical_formula_sum 'Hf1 Zr2 Pa2'
_symmetry_space_group_name_H-M 'P 1'
_symmetry_Int_Tables_number 1
_cell_length_a 3.0459
_cell_length_b 3.0459
_cell_length_c 13.4677
_cell_angle_alpha 96.49
_cell_angle_beta 96.49
_cell_angle_gamma 90.00
loop_
_symmetry_equiv_pos_as_xyz
'x,y,z'
loop_
_atom_site_label
_atom_site_fract_x
_atom_site_fract_y
_atom_site_fract_z
_atom_site_occupancy
Zr1 0.4671 0.4671 0.9342 1
Zr2 0.0543 0.0543 0.1087 1
Pa1 0.2482 0.2482 0.4963 1
Pa2 0.6530 0.6530 0.3060 1
Hf1 0.3551 0.3551 0.7102 1
# - ρ (g cm⁻³) = 11.1
# - formation enthalpy at 0 K (eV/atom) = 0.3957
# - space group = I4mm, No. 107

***

# HfZr6Pa PBE relaxed
data_HfZr6Pa
_chemical_formula_sum 'Hf1 Zr6 Pa1'
_symmetry_space_group_name_H-M 'P 1'
_symmetry_Int_Tables_number 1
_cell_length_a 5.0957
_cell_length_b 6.3321
_cell_length_c 6.3321
_cell_angle_alpha 112.97
_cell_angle_beta 90.00
_cell_angle_gamma 90.00
loop_
_symmetry_equiv_pos_as_xyz
'x,y,z'
loop_
_atom_site_label
_atom_site_fract_x
_atom_site_fract_y
_atom_site_fract_z
_atom_site_occupancy
Hf1 0.5000 0.6696 0.3304 1
Zr1 0.0000 0.3340 0.6660 1
Zr2 0.0000 0.8637 0.1363 1
Zr3 0.5000 0.6401 0.8208 1
Zr4 0.0000 0.8214 0.6329 1
Zr5 0.5000 0.1792 0.3599 1
Zr6 0.0000 0.3671 0.1786 1
Pa1 0.5000 0.1249 0.8751 1
# - ρ (g cm⁻³) = 8.4
# - E above lowest polymorph (eV/atom) = 0.000
# - formation enthalpy at 0 K (eV/atom) = 0.0724
# - space group = Amm2, No. 38

***

# HfZr3Pa PBE relaxed
data_HfZr3Pa
_chemical_formula_sum 'Hf2 Zr6 Pa2'
_symmetry_space_group_name_H-M 'P 1'
_symmetry_Int_Tables_number 1
_cell_length_a 6.1046
_cell_length_b 6.1046
_cell_length_c 8.2681
_cell_angle_alpha 68.34
_cell_angle_beta 68.34
_cell_angle_gamma 60.00
loop_
_symmetry_equiv_pos_as_xyz
'x,y,z'
loop_
_atom_site_label
_atom_site_fract_x
_atom_site_fract_y
_atom_site_fract_z
_atom_site_occupancy
Zr1 0.1056 0.6158 0.6624 1
Zr2 0.3839 0.8944 0.3376 1
Zr3 0.6161 0.1056 0.6624 1
Zr4 0.8944 0.3842 0.3376 1
Zr5 0.6158 0.6161 0.6624 1
Zr6 0.3842 0.3839 0.3376 1
Pa1 0.0600 0.0600 0.8201 1
Pa2 0.9400 0.9400 0.1799 1
Hf1 0.3339 0.3339 0.9983 1
Hf2 0.6661 0.6661 0.0017 1
# - ρ (g cm⁻³) = 9.4
# - E above lowest polymorph (eV/atom) = 0.177
# - formation enthalpy at 0 K (eV/atom) = 0.2339
# - space group = R-3m, No. 166

***

# Hf3ZrPa3 PBE relaxed
data_Hf3ZrPa3
_chemical_formula_sum 'Hf6 Zr2 Pa6'
_symmetry_space_group_name_H-M 'P 1'
_symmetry_Int_Tables_number 1
_cell_length_a 8.0516
_cell_length_b 8.0516
_cell_length_c 8.0516
_cell_angle_alpha 57.51
_cell_angle_beta 57.51
_cell_angle_gamma 57.51
loop_
_symmetry_equiv_pos_as_xyz
'x,y,z'
loop_
_atom_site_label
_atom_site_fract_x
_atom_site_fract_y
_atom_site_fract_z
_atom_site_occupancy
Pa1 0.7082 0.5699 0.1031 1
Pa2 0.1031 0.7082 0.5699 1
Pa3 0.8969 0.2918 0.4301 1
Pa4 0.5699 0.1031 0.7082 1
Pa5 0.4301 0.8969 0.2918 1
Pa6 0.2918 0.4301 0.8969 1
Hf1 0.0547 0.2897 0.8240 1
Hf2 0.7103 0.1760 0.9453 1
Hf3 0.1760 0.9453 0.7103 1
Hf4 0.8240 0.0547 0.2897 1
Hf5 0.9453 0.7103 0.1760 1
Hf6 0.2897 0.8240 0.0547 1
Zr1 0.3351 0.3351 0.3351 1
Zr2 0.6649 0.6649 0.6649 1
# - ρ (g cm⁻³) = 12.6
# - formation enthalpy at 0 K (eV/atom) = 0.3281
# - space group = R-3, No. 148

***

# HfZrPa14 PBE relaxed
data_HfZrPa14
_chemical_formula_sum 'Hf1 Zr1 Pa14'
_symmetry_space_group_name_H-M 'P 1'
_symmetry_Int_Tables_number 1
_cell_length_a 6.5564
_cell_length_b 6.5564
_cell_length_c 9.2580
_cell_angle_alpha 90.00
_cell_angle_beta 90.00
_cell_angle_gamma 90.01
loop_
_symmetry_equiv_pos_as_xyz
'x,y,z'
loop_
_atom_site_label
_atom_site_fract_x
_atom_site_fract_y
_atom_site_fract_z
_atom_site_occupancy
Pa1 0.8748 0.6249 0.0000 1
Pa2 0.1253 0.8747 0.7512 1
Pa3 0.6247 0.3753 0.2487 1
Pa4 0.8750 0.6249 0.5000 1
Pa5 0.6247 0.8746 0.2488 1
Pa6 0.3751 0.1252 0.0000 1
Pa7 0.1253 0.8747 0.2488 1
Pa8 0.6247 0.8746 0.7512 1
Pa9 0.8750 0.1250 0.5000 1
Pa10 0.1254 0.3753 0.2488 1
Pa11 0.1254 0.3753 0.7512 1
Pa12 0.6247 0.3753 0.7513 1
Pa13 0.3750 0.6250 0.5000 1
Pa14 0.3751 0.1250 0.5000 1
Hf1 0.3748 0.6252 0.0000 1
Zr1 0.8750 0.1250 0.0000 1
# - ρ (g cm⁻³) = 14.6
# - formation enthalpy at 0 K (eV/atom) = 0.0380
# - space group = P4/mmm, No. 123

***

The highest formation enthalpy at 0 K belongs to which entry?
HfZr2Pa2

***

Which of these has the highest ρ?
HfZrPa14

***

ρ of number 8 (HfZrPa14)?
14.6 g cm⁻³